VASP calculation (PBE with a Hubbard U) on a relaxed RbCoPO2 crystal.

energy above the lowest structure with this stoichiometry = 0.4404 eV/atom
ρ = 3.77 g cm⁻³
V = 91.4 Å³/f.u.
crystal system = tetragonal

The structure in CIF format:
```
data_RbCoPO2
_space_group_name_H-M_alt 'P 4/m m m'
_space_group_IT_number 123
_space_group_name_Hall '-P 4 2'
_cell_length_a 3.7958
_cell_length_b 3.7958
_cell_length_c 6.3469
_cell_angle_alpha 90.00
_cell_angle_beta 90.00
_cell_angle_gamma 90.00
loop_
_atom_site_label
_atom_site_fract_x
_atom_site_fract_y
_atom_site_fract_z
_atom_site_occupancy
Rb1 0.0000 0.0000 0.0000 1
Co1 0.5000 0.5000 0.0000 1
P1 0.0000 0.0000 0.5000 1
O1 0.0000 0.5000 0.5000 1
```